A plane-wave DFT calculation with PBE was carried out for a relaxed Mg2ScGa3 crystal.

Summary:
**Total magnetization**: 0.2 μB per formula unit
**Total DFT energy (no corrections)**: -3.38 eV per atom
**Energy of formation**: -277.6 meV per atom
**Crystal system**: tetragonal

Cell lengths 3.2228, 3.2228, 10.9833 Å; angles 90.00, 90.00, 90.00 degrees
Closest atoms and distances in Å follow each position.
Fractional coordinates of all 6 atoms:
Ga 0.0000 0.0000 0.0000  8 Mg 2.92, 4 Ga 3.22
Mg 0.5000 0.5000 0.1666  8 Ga 2.91-2.92, 4 Mg 3.22
Mg 0.5000 0.5000 0.8334  8 Ga 2.91-2.92, 4 Mg 3.22
Sc 0.5000 0.5000 0.5000  8 Ga 2.94, 4 Sc 3.22
Ga 0.0000 0.0000 0.3312  4 Mg 2.91, 4 Sc 2.94, 4 Ga 3.22
Ga 0.0000 0.0000 0.6688  4 Mg 2.91, 4 Sc 2.94, 4 Ga 3.22